Zn2Ni6Au (GGA-PBE, optimized geometry); space group = C2/m, No. 12; formation energy = -0.67 eV/f.u.; total DFT energy (no corrections) = -41.2 eV for the cell shown
1.0
4.0304 -1.8460 0.0000
4.0304 1.8460 0.0000
-2.3143 0.0000 7.4019
Zn Ni Au
2 6 1
Cartesian
0.8980 0.0000 1.7409
4.8485 0.0000 5.6610
0.0193 0.0000 4.0807
-0.7235 0.0000 6.4577
2.4657 0.0000 4.8358
3.2808 0.0000 2.5661
6.4700 0.0000 0.9442
5.7272 0.0000 3.3212
4.0304 0.0000 0.0000